The following is a DFT calculation (PBE-GGA) of a relaxed Sr2TeAsPd crystal.

The value obtained for the total magnetic moment is 0.000 μB/f.u. For the raw total energy, the calculation gives -3.479 eV per atom. The value obtained for the energy relative to the elements, uncorrected is -0.21 eV per atom.

The space group is P4/mmm (No. 123) and the conventional cell measures 5.8876, 5.8876 and 5.3337 Å, with angles of 90.00, 90.00 and 90.00 degrees. Symmetry generates all atoms from Sr at (0.0000, 0.5000, 0.0000), Te at (0.0000, 0.0000, 0.5000), As at (0.0000, 0.0000, 0.0000) and Pd at (0.5000, 0.5000, 0.5000).